Entry 1:
SbTe4Au: optimized geometry, PBE.

Output
- Symmetry: No. 15
- E above lowest polymorph: 3.01 kJ/mol of atoms
- Formation energy without anion corrections: 30.4 meV/atom
- Density: 6.84 Mg/m³
- V: 33.549 Å³ per atom

Lattice parameters (Å, degrees): 8.570 8.570 7.710 104.41 104.41 123.38
Fractional coordinates of all 12 atoms:
1 Sb 0.068 0.932 0.750
2 Sb 0.932 0.068 0.250
3 Te 0.024 0.437 0.160
4 Te 0.208 0.322 0.718
5 Te 0.322 0.208 0.218
6 Te 0.437 0.024 0.660
7 Te 0.563 0.976 0.340
8 Te 0.678 0.792 0.782
9 Te 0.792 0.678 0.282
10 Te 0.976 0.563 0.840
11 Au 0.421 0.579 0.250
12 Au 0.579 0.421 0.750

***

Entry 2:
PaH2Cl4: optimized geometry, PBE.

Output
- Symmetry: No. 121
- E above lowest polymorph: 40.56 kJ/mol of atoms
- Density: 4.70 Mg/m³
- V: 18.906 Å³ per atom

Lattice parameters (Å, degrees): 5.563 5.563 5.563 110.69 110.69 107.05
Fractional coordinates of all 7 atoms:
1 Pa 0.000 0.000 0.000
2 H 0.250 0.750 0.500
3 H 0.750 0.250 0.500
4 Cl 0.115 0.548 0.000
5 Cl 0.452 0.452 0.567
6 Cl 0.548 0.115 0.000
7 Cl 0.885 0.885 0.433

***

Entry 3:
Ho2Er6Tm3Sc: optimized geometry, PBE.

Output
- Symmetry: No. 12
- Density: 8.73 Mg/m³
- V: 29.888 Å³ per atom
- Calculated formation energy: 31 meV per atom

Lattice parameters (Å, degrees): 6.031 6.031 11.553 94.99 94.99 119.94
Fractional coordinates of all 12 atoms:
1 Ho 0.167 0.833 0.000
2 Ho 0.833 0.167 0.000
3 Er 0.086 0.417 0.751
4 Er 0.251 0.251 0.249
5 Er 0.417 0.086 0.751
6 Er 0.583 0.914 0.249
7 Er 0.749 0.749 0.751
8 Er 0.914 0.583 0.249
9 Tm 0.000 0.000 0.500
10 Tm 0.334 0.666 0.500
11 Tm 0.666 0.334 0.500
12 Sc 0.500 0.500 0.000

***

Entry 4:
Li5Al2Cu: optimized geometry, PBE.

Output
- Symmetry: No. 55
- E above lowest polymorph: 0.00 kJ/mol of atoms
- Density: 2.03 Mg/m³
- V: 15.600 Å³ per atom
- Calculated formation energy: -121 meV per atom

Lattice parameters (Å, degrees): 7.212 12.258 2.823 90.00 90.00 90.00
Fractional coordinates of all 16 atoms:
1 Li 0.000 0.000 0.000
2 Li 0.008 0.230 0.000
3 Li 0.217 0.376 0.500
4 Li 0.283 0.876 0.500
5 Li 0.492 0.730 0.000
6 Li 0.500 0.500 0.000
7 Li 0.508 0.270 0.000
8 Li 0.717 0.124 0.500
9 Li 0.783 0.624 0.500
10 Li 0.992 0.770 0.000
11 Al 0.215 0.619 0.500
12 Al 0.285 0.119 0.500
13 Al 0.715 0.881 0.500
14 Al 0.785 0.381 0.500
15 Cu 0.000 0.500 0.000
16 Cu 0.500 0.000 0.000